Crystalline AgPd2Pt9 at its relaxed geometry. Source: Alexandria via LeMat-Bulk, functional PBE-GGA.

Calculated density = 18.3 g/cm3
Space group = No. 123
E_form = -0.13 eV per formula unit
Crystal system = tetragonal

Lattice parameters (Å, degrees): 3.9683 3.9683 11.9767 90.00 90.00 90.00
Element x y z (fractional)
Ag  0.0000  0.0000  0.0000
Pd  0.0000  0.0000  0.3351
Pd  0.0000  0.0000  0.6649
Pt  0.0000  0.5000  0.1693
Pt  0.0000  0.5000  0.5000
Pt  0.0000  0.5000  0.8307
Pt  0.5000  0.0000  0.1693
Pt  0.5000  0.0000  0.5000
Pt  0.5000  0.0000  0.8307
Pt  0.5000  0.5000  0.0000
Pt  0.5000  0.5000  0.3340
Pt  0.5000  0.5000  0.6660